Entry 1:
The following is a PBE calculation of a geometry-optimized Na4CdBi2 structure, from OQMD.

Cell lengths 10.0212, 10.0212, 10.0212 Å; angles 31.98, 31.98, 31.98 degrees
With the nearest neighbours (Å) after each atom.
Element x y z (fractional)
Na: 0.0963 0.0963 0.0963  3 Bi 3.28, 3 Na 3.50
Na: 0.2877 0.2877 0.2877  4 Bi 3.26-3.28, 3 Na 3.50
Na: 0.7123 0.7123 0.7123  4 Bi 3.26-3.28, 3 Na 3.50
Na: 0.9037 0.9037 0.9037  3 Bi 3.28, 3 Na 3.50
Cd: 0.5000 0.5000 0.5000  2 Bi 2.77
Bi: 0.4029 0.4029 0.4029  1 Cd 2.77
Bi: 0.5971 0.5971 0.5971  1 Cd 2.77

* total DFT energy (no corrections): -0.1713 Ry per atom
* crystal system: trigonal



Entry 2:
The following is a PBE calculation of a geometry-optimized NaCdNiBi structure, from OQMD.

Cell lengths 4.8700, 4.8700, 4.8700 Å; angles 60.00, 60.00, 60.00 degrees
With the nearest neighbours (Å) after each atom.
Element x y z (fractional)
Na: 0.0000 0.0000 0.0000  4 Cd 2.98, 4 Bi 2.98
Cd: 0.7500 0.7500 0.7500  4 Na 2.98, 4 Ni 2.98
Ni: 0.5000 0.5000 0.5000  4 Cd 2.98, 4 Bi 2.98
Bi: 0.2500 0.2500 0.2500  4 Ni 2.98, 4 Na 2.98

* crystal system: cubic
* E above lowest polymorph: 0.000 eV per formula unit
* magnetic moment: 0.001 μB/f.u.



Entry 3:
The following is a PBE calculation of a geometry-optimized NaCdNiBi structure, from OQMD.

Cell lengths 4.9438, 4.9438, 4.9438 Å; angles 60.00, 60.00, 60.00 degrees
With the nearest neighbours (Å) after each atom.
Element x y z (fractional)
Na: 0.0000 0.0000 0.0000  4 Cd 3.03, 4 Ni 3.03
Cd: 0.7500 0.7500 0.7500  4 Na 3.03, 4 Bi 3.03
Ni: 0.2500 0.2500 0.2500  4 Bi 3.03, 4 Na 3.03
Bi: 0.5000 0.5000 0.5000  4 Cd 3.03, 4 Ni 3.03

* crystal system: cubic
* E above lowest polymorph: 0.458 eV per formula unit
* magnetic moment: 0.006 μB/f.u.



Entry 4:
The following is a PBE calculation of a geometry-optimized NaCdBiPt structure, from OQMD.

Cell lengths 4.9207, 4.9207, 4.9207 Å; angles 60.00, 60.00, 60.00 degrees
With the nearest neighbours (Å) after each atom.
Element x y z (fractional)
Na: 0.0000 0.0000 0.0000  4 Cd 3.01, 4 Bi 3.01
Cd: 0.7500 0.7500 0.7500  4 Pt 3.01, 4 Na 3.01
Bi: 0.2500 0.2500 0.2500  4 Pt 3.01, 4 Na 3.01
Pt: 0.5000 0.5000 0.5000  4 Bi 3.01, 4 Cd 3.01

* crystal system: cubic
* E above lowest polymorph: 0.000 eV per formula unit
* magnetic moment: 0.001 μB/f.u.